Tb2Ge6Au (GGA-PBE, relaxed); formation energy = -0.391 eV per atom; total moment = 0.000 μB per atom; SG = Amm2
1.0
4.124 0.000 0.000
0.000 2.056 11.104
0.000 -2.056 11.104
Tb Ge Au
2 6 1
Direct
0.000 0.000 0.000 Tb
0.000 0.345 0.345 Tb
0.000 0.633 0.633 Ge
0.000 0.747 0.747 Ge
0.500 0.133 0.133 Ge
0.500 0.247 0.247 Ge
0.500 0.450 0.450 Ge
0.500 0.880 0.880 Ge
0.500 0.562 0.562 Au